DFT (PBE with a Hubbard U) results for a relaxed VReO2 crystal.

Unit cell a=3.885 b=3.885 c=3.885 alpha=60.00 beta=60.00 gamma=60.00
Sites, in units of the cell vectors:
V 0.000 0.000 0.000
Re 0.500 0.500 0.500
O 0.250 0.250 0.250
O 0.750 0.750 0.750

Calculated values
For the magnetization, the calculation gives 2.522 Bohr magnetons per cell. As for the symmetry: Fm-3m, No. 225. As for the total energy: -7.298 eV per atom.